(1)
First-principles (PBE-GGA) data for a relaxed structure of Ta5AlB, as listed in Alexandria.

The formation energy is -0.7 eV per formula unit. The density comes out at 13.4 g/cm³. As for the density of states at the Fermi level: 4.5 states/eV/f.u.

Unit cell a=7.4066 b=7.9905 c=8.0265 alpha=90.00 beta=100.68 gamma=90.00
Closest atoms and distances in Å follow each position.
Space group C2/c (No. 15)
Unique sites:
Ta (0.0000, 0.1180, 0.2500) [4 per cell]  2 B 2.22
Ta (0.1277, 0.2336, 0.6344) [8 per cell]  1 B 2.27
Ta (0.2232, 0.4139, 0.0276) [8 per cell]  1 B 2.21
Al (0.0000, 0.4573, 0.2500) [4 per cell]  7 Ta 2.67-2.86
B (0.0000, 0.0000, 0.0000) [4 per cell]  6 Ta 2.21-2.27

***

(2)
First-principles (PBE-GGA) data for a relaxed structure of TaAlB, as listed in Alexandria.

The formation energy is -0.7 eV per formula unit. The density comes out at 9.0 g/cm³. The value obtained for the energy above the most stable polymorph in this dataset is 5.93 kcal/mol of atoms. As for the density of states at the Fermi level: 1.1 states/eV/f.u.

Unit cell a=10.1554 b=3.1896 c=4.9904 alpha=90.00 beta=94.91 gamma=90.00
Closest atoms and distances in Å follow each position.
Space group C2/m (No. 12)
Unique sites:
Ta (0.2172, 0.0000, 0.2449) [4 per cell]  3 B 2.38-2.42
Al (0.0570, 0.0000, 0.7601) [4 per cell]  4 B 2.25-2.33
B (0.0837, 0.5000, 0.4508) [4 per cell]  1 B 1.81

***

(3)
First-principles (PBE-GGA) data for a relaxed structure of Ta2AlB6, as listed in Alexandria.

The formation energy is -3.7 eV per formula unit. The density comes out at 9.3 g/cm³. As for the density of states at the Fermi level: 2.3 states/eV/f.u.

Unit cell a=5.2961 b=5.2961 c=3.3362 alpha=90.00 beta=90.00 gamma=120.00
Closest atoms and distances in Å follow each position.
Space group P6/mmm (No. 191)
Unique sites:
Ta (0.3333, 0.6667, 0.0000) [2 per cell]  12 B 2.44
Al (0.0000, 0.0000, 0.0000) [1 per cell]  12 B 2.41
B (0.0000, 0.3296, 0.5000) [6 per cell]  3 B 1.75-1.80

***

(4)
First-principles (PBE-GGA) data for a relaxed structure of TaAl3B, as listed in Alexandria.

The formation energy is 2.7 eV per formula unit. The density comes out at 6.1 g/cm³. The value obtained for the energy above the most stable polymorph in this dataset is 0.00 kcal/mol of atoms. As for the density of states at the Fermi level: 4.0 states/eV/f.u.

Unit cell a=4.2102 b=4.2102 c=4.2102 alpha=90.00 beta=90.00 gamma=90.00
Closest atoms and distances in Å follow each position.
Space group Pm-3m (No. 221)
Unique sites:
Ta (0.0000, 0.0000, 0.0000) [1 per cell]  12 Al 2.98
Al (0.0000, 0.5000, 0.5000) [3 per cell]  2 B 2.11
B (0.5000, 0.5000, 0.5000) [1 per cell]  6 Al 2.11

***

(5)
First-principles (PBE-GGA) data for a relaxed structure of TaAl2BW, as listed in Alexandria.

The formation energy is 9.1 eV per formula unit. The density comes out at 7.6 g/cm³. As for the density of states at the Fermi level: 5.0 states/eV/f.u.

Unit cell a=4.8186 b=4.8186 c=4.0617 alpha=90.00 beta=90.00 gamma=90.00
Closest atoms and distances in Å follow each position.
Space group P4/mmm (No. 123)
Unique sites:
Ta (0.0000, 0.0000, 0.0000) [1 per cell]  2 B 2.03
Al (0.0000, 0.5000, 0.0000) [2 per cell]  2 Ta 2.41
B (0.0000, 0.0000, 0.5000) [1 per cell]  2 Ta 2.03
W (0.5000, 0.5000, 0.5000) [1 per cell]  8 Al 3.15, 4 B 3.41

***

(6)
First-principles (PBE-GGA) data for a relaxed structure of Y2TaAlB, as listed in Alexandria.

The formation energy is 7.4 eV per formula unit. The density comes out at 4.6 g/cm³. As for the density of states at the Fermi level: 3.3 states/eV/f.u.

Unit cell a=5.3338 b=5.3338 c=5.0395 alpha=90.00 beta=90.00 gamma=90.00
Closest atoms and distances in Å follow each position.
Space group P4/mmm (No. 123)
Unique sites:
Y (0.0000, 0.5000, 0.0000) [2 per cell]  2 Ta 2.67
Ta (0.0000, 0.0000, 0.0000) [1 per cell]  2 Al 2.52, 4 Y 2.67
Al (0.0000, 0.0000, 0.5000) [1 per cell]  2 Ta 2.52
B (0.5000, 0.5000, 0.5000) [1 per cell]  8 Y 3.67, 4 Al 3.77

***

(7)
First-principles (PBE-GGA) data for a relaxed structure of ZrTaAlB2, as listed in Alexandria.

The formation energy is 6.7 eV per formula unit. The density comes out at 6.6 g/cm³. As for the density of states at the Fermi level: 2.6 states/eV/f.u.

Unit cell a=4.1296 b=4.1296 c=4.7180 alpha=90.00 beta=90.00 gamma=90.00
Closest atoms and distances in Å follow each position.
Space group P4/mmm (No. 123)
Unique sites:
Zr (0.0000, 0.0000, 0.0000) [1 per cell]  4 Ta 2.92, 8 B 3.14
Ta (0.5000, 0.5000, 0.0000) [1 per cell]  2 Al 2.36
Al (0.5000, 0.5000, 0.5000) [1 per cell]  4 B 2.06
B (0.0000, 0.5000, 0.5000) [2 per cell]  2 Al 2.06

***

(8)
First-principles (PBE-GGA) data for a relaxed structure of TbAlB4, as listed in Alexandria.

The formation energy is -2.9 eV per formula unit. The density comes out at 6.2 g/cm³. As for the density of states at the Fermi level: 1.0 states/eV/f.u.

Unit cell a=5.9697 b=11.5674 c=3.5813 alpha=90.00 beta=90.00 gamma=90.00
Closest atoms and distances in Å follow each position.
Space group Pbam (No. 55)
Unique sites:
Tb (0.1285, 0.1498, 0.0000) [4 per cell]  14 B 2.65-2.77
Al (0.1377, 0.4100, 0.0000) [4 per cell]  10 B 2.30-2.39
B (0.0266, 0.6922, 0.5000) [4 per cell]  3 B 1.76-1.89
B (0.1133, 0.5467, 0.5000) [4 per cell]  3 B 1.73-1.76
B (0.1343, 0.9691, 0.5000) [4 per cell]  3 B 1.75-1.86
B (0.2110, 0.8129, 0.5000) [4 per cell]  3 B 1.78-1.89

***

(9)
First-principles (PBE-GGA) data for a relaxed structure of Tb3AlB, as listed in Alexandria.

The formation energy is -0.6 eV per formula unit. The density comes out at 6.8 g/cm³. As for the density of states at the Fermi level: 8.2 states/eV/f.u.

Unit cell a=5.0156 b=5.0156 c=5.0156 alpha=90.00 beta=90.00 gamma=90.00
Closest atoms and distances in Å follow each position.
Space group Pm-3m (No. 221)
Unique sites:
Tb (0.0000, 0.0000, 0.5000) [3 per cell]  2 B 2.51
Al (0.5000, 0.5000, 0.5000) [1 per cell]  12 Tb 3.55
B (0.0000, 0.0000, 0.0000) [1 per cell]  6 Tb 2.51

***

(10)
First-principles (PBE-GGA) data for a relaxed structure of Tb2AlB10, as listed in Alexandria.

The formation energy is -5.4 eV per formula unit. The density comes out at 5.6 g/cm³. As for the density of states at the Fermi level: 2.2 states/eV/f.u.

Unit cell a=5.6608 b=11.2616 c=4.1829 alpha=90.00 beta=90.00 gamma=90.00
Closest atoms and distances in Å follow each position.
Space group Pbam (No. 55)
Unique sites:
Tb (0.1966, 0.1384, 0.0000) [4 per cell]  20 B 2.87-3.05, 2 Al 3.12
Al (0.0000, 0.5000, 0.5000) [2 per cell]  8 B 2.17-2.19
B (0.0430, 0.3086, 0.5000) [4 per cell]  4 B 1.67-1.79
B (0.1217, 0.9584, 0.5000) [4 per cell]  4 B 1.67-1.79
B (0.1494, 0.8035, 0.5000) [4 per cell]  5 B 1.67-1.75
B (0.2126, 0.3825, 0.1981) [8 per cell]  4 B 1.66-1.79

***

(11)
First-principles (PBE-GGA) data for a relaxed structure of AlTcB3, as listed in Alexandria.

The formation energy is 10.3 eV per formula unit. The density comes out at 4.3 g/cm³. The value obtained for the energy above the most stable polymorph in this dataset is 22.49 kcal/mol of atoms. As for the density of states at the Fermi level: 5.2 states/eV/f.u.

Unit cell a=3.9304 b=3.9304 c=3.9304 alpha=90.00 beta=90.00 gamma=90.00
Closest atoms and distances in Å follow each position.
Space group Pm-3m (No. 221)
Unique sites:
Al (0.0000, 0.0000, 0.0000) [1 per cell]  6 B 1.97
Tc (0.5000, 0.5000, 0.5000) [1 per cell]  12 B 2.78
B (0.0000, 0.0000, 0.5000) [3 per cell]  2 Al 1.97

***

(12)
First-principles (PBE-GGA) data for a relaxed structure of AlTcB3, as listed in Alexandria.

The formation energy is 5.4 eV per formula unit. The density comes out at 3.7 g/cm³. The value obtained for the energy above the most stable polymorph in this dataset is 0.00 kcal/mol of atoms. As for the density of states at the Fermi level: 1.3 states/eV/f.u.

Unit cell a=4.1169 b=4.1169 c=4.1169 alpha=90.00 beta=90.00 gamma=90.00
Closest atoms and distances in Å follow each position.
Space group Pm-3m (No. 221)
Unique sites:
Al (0.0000, 0.0000, 0.0000) [1 per cell]  12 B 2.91
Tc (0.5000, 0.5000, 0.5000) [1 per cell]  6 B 2.06
B (0.0000, 0.5000, 0.5000) [3 per cell]  2 Tc 2.06

***

(13)
First-principles (PBE-GGA) data for a relaxed structure of AlTcB, as listed in Alexandria.

The formation energy is -1.1 eV per formula unit. The density comes out at 6.7 g/cm³. The value obtained for the energy above the most stable polymorph in this dataset is 0.00 kcal/mol of atoms. As for the density of states at the Fermi level: 0.8 states/eV/f.u.

Unit cell a=3.0284 b=14.1010 c=3.1699 alpha=90.00 beta=90.00 gamma=90.00
Closest atoms and distances in Å follow each position.
Space group Cmcm (No. 63)
Unique sites:
Al (0.0000, 0.1972, 0.2500) [4 per cell]  1 B 2.34
Tc (0.0000, 0.4057, 0.2500) [4 per cell]  6 B 2.33-2.36
B (0.0000, 0.0313, 0.2500) [4 per cell]  2 B 1.81

***

(14)
First-principles (PBE-GGA) data for a relaxed structure of AlTc3B, as listed in Alexandria.

The formation energy is 0.2 eV per formula unit. The density comes out at 7.9 g/cm³. The value obtained for the energy above the most stable polymorph in this dataset is 0.20 kcal/mol of atoms. As for the density of states at the Fermi level: 5.3 states/eV/f.u.

Unit cell a=4.1083 b=4.1083 c=4.1083 alpha=90.00 beta=90.00 gamma=90.00
Closest atoms and distances in Å follow each position.
Space group Pm-3m (No. 221)
Unique sites:
Al (0.0000, 0.0000, 0.0000) [1 per cell]  12 Tc 2.91
Tc (0.0000, 0.5000, 0.5000) [3 per cell]  2 B 2.05
B (0.5000, 0.5000, 0.5000) [1 per cell]  6 Tc 2.05

***

(15)
First-principles (PBE-GGA) data for a relaxed structure of Al2TcB2, as listed in Alexandria.

The formation energy is -1.1 eV per formula unit. The density comes out at 5.4 g/cm³. As for the density of states at the Fermi level: 2.0 states/eV/f.u.

Unit cell a=5.8239 b=5.8239 c=3.1589 alpha=90.00 beta=90.00 gamma=90.00
Closest atoms and distances in Å follow each position.
Space group P4/mbm (No. 127)
Unique sites:
Al (0.1831, 0.3169, 0.0000) [4 per cell]  6 B 2.34-2.36
Tc (0.0000, 0.0000, 0.5000) [2 per cell]  4 B 2.39, 8 Al 2.65
B (0.1033, 0.6033, 0.5000) [4 per cell]  1 B 1.70

***

(16)
First-principles (PBE-GGA) data for a relaxed structure of AlTcB, as listed in Alexandria.

The formation energy is -0.4 eV per formula unit. The density comes out at 6.0 g/cm³. The value obtained for the energy above the most stable polymorph in this dataset is 5.40 kcal/mol of atoms. As for the density of states at the Fermi level: 1.4 states/eV/f.u.

Unit cell a=3.6342 b=3.6342 c=3.2901 alpha=90.00 beta=90.00 gamma=120.00
Closest atoms and distances in Å follow each position.
Space group P-6m2 (No. 187)
Unique sites:
Al (0.0000, 0.0000, 0.0000) [1 per cell]  6 B 2.67, 6 Tc 2.67
Tc (0.6667, 0.3333, 0.5000) [1 per cell]  3 B 2.10
B (0.3333, 0.6667, 0.5000) [1 per cell]  3 Tc 2.10

***

(17)
First-principles (PBE-GGA) data for a relaxed structure of AlTc12B6, as listed in Alexandria.

The formation energy is -6.4 eV per formula unit. The density comes out at 9.4 g/cm³. As for the density of states at the Fermi level: 13.6 states/eV/f.u.

Unit cell a=7.6454 b=7.6454 c=7.6454 alpha=90.00 beta=90.00 gamma=90.00
Closest atoms and distances in Å follow each position.
Space group Im-3 (No. 204)
Unique sites:
Al (0.0000, 0.0000, 0.0000) [2 per cell]  12 Tc 2.72
Tc (0.0000, 0.3023, 0.1868) [24 per cell]  3 B 2.14-2.26
B (0.0000, 0.1158, 0.5000) [12 per cell]  1 B 1.77

***

(18)
First-principles (PBE-GGA) data for a relaxed structure of Al2Tc2B, as listed in Alexandria.

The formation energy is -1.4 eV per formula unit. The density comes out at 6.3 g/cm³. As for the density of states at the Fermi level: 2.3 states/eV/f.u.

Unit cell a=5.8143 b=5.8143 c=4.0571 alpha=90.00 beta=90.00 gamma=90.00
Closest atoms and distances in Å follow each position.
Space group P4/mbm (No. 127)
Unique sites:
Al (0.1586, 0.3414, 0.0000) [4 per cell]  6 Tc 2.52-2.75, 1 Al 2.61
Tc (0.1603, 0.6603, 0.5000) [4 per cell]  2 B 2.18
B (0.0000, 0.0000, 0.5000) [2 per cell]  4 Tc 2.18

***

(19)
First-principles (PBE-GGA) data for a relaxed structure of AlTc3B, as listed in Alexandria.

The formation energy is 0.1 eV per formula unit. The density comes out at 8.0 g/cm³. The value obtained for the energy above the most stable polymorph in this dataset is 0.00 kcal/mol of atoms. As for the density of states at the Fermi level: 4.6 states/eV/f.u.

Unit cell a=6.1539 b=6.1539 c=6.3333 alpha=90.00 beta=90.00 gamma=120.00
Closest atoms and distances in Å follow each position.
Space group R3m (No. 160, hexagonal axes)
Unique sites:
Al (0.0000, 0.0000, 0.0000) [3 per cell]  1 B 2.36
Tc (0.1913, 0.3826, 0.2979) [9 per cell]  2 B 2.09-2.23
B (0.0000, 0.0000, 0.3723) [3 per cell]  6 Tc 2.09-2.23

***

(20)
First-principles (PBE-GGA) data for a relaxed structure of AlTcB, as listed in Alexandria.

The formation energy is -0.7 eV per formula unit. The density comes out at 5.9 g/cm³. The value obtained for the energy above the most stable polymorph in this dataset is 3.52 kcal/mol of atoms. As for the density of states at the Fermi level: 1.2 states/eV/f.u.

Unit cell a=9.3091 b=3.0100 c=6.1127 alpha=90.00 beta=117.30 gamma=90.00
Closest atoms and distances in Å follow each position.
Space group C2/m (No. 12)
Unique sites:
Al (0.0000, 0.0000, 0.0000) [2 per cell]  2 B 2.47, 4 Tc 2.64
Al (0.0000, 0.5000, 0.5000) [2 per cell]  2 B 2.42, 4 Tc 2.60
Tc (0.2382, 0.0000, 0.7960) [4 per cell]  3 B 2.17-2.20
B (0.2216, 0.0000, 0.4254) [4 per cell]  2 B 1.71